Compound: Pr2Y2Er4Tm
Source: the Alexandria database
Functional: GGA-PBE
Structure: relaxed

The structure in POSCAR format:
```
Pr2Y2Er4Tm
1.0
9.328 -1.799 0.000
9.328 1.799 0.000
-4.147 0.000 8.611
Pr Y Er Tm
2 2 4 1
Direct
0.165 0.165 0.001
0.835 0.835 0.999
0.354 0.354 0.339
0.646 0.646 0.661
0.020 0.020 0.334
0.315 0.315 0.663
0.685 0.685 0.337
0.980 0.980 0.666
0.500 0.500 0.000
```

Values from the calculation:
**E_tot**: -5.023 eV per atom
**Formation energy**: 0.000 eV per atom

=====

Compound: BaNa2CdAu
Source: the Alexandria database
Functional: GGA-PBE
Structure: relaxed

The structure in POSCAR format:
```
BaNa2CdAu
1.0
5.594 0.000 0.000
0.000 5.594 0.000
0.000 0.000 6.282
Ba Na Cd Au
1 2 1 1
Direct
0.000 0.000 0.000
0.000 0.500 0.500
0.500 0.000 0.500
0.500 0.500 0.000
0.000 0.000 0.500
```

Values from the calculation:
**E_tot**: -1.913 eV per atom
**Formation energy**: -0.162 eV per atom
**E above lowest polymorph**: 0.0 meV per atom

=====

Compound: Zr2ScTl3
Source: the Alexandria database
Functional: GGA-PBE
Structure: relaxed

The structure in POSCAR format:
```
Zr2ScTl3
1.0
3.236 0.000 0.000
0.000 3.236 0.000
0.000 0.000 13.176
Zr Sc Tl
2 1 3
Direct
0.000 0.000 0.165
0.000 0.000 0.835
0.000 0.000 0.500
0.500 0.500 0.000
0.500 0.500 0.334
0.500 0.500 0.666
```

Values from the calculation:
**E_tot**: -5.222 eV per atom
**Formation energy**: -0.134 eV per atom
**E above lowest polymorph**: 0.0 meV per atom

=====

Compound: Pm7TmCd4
Source: the Alexandria database
Functional: GGA-PBE
Structure: relaxed

The structure in POSCAR format:
```
Pm7TmCd4
1.0
7.491 -2.909 0.000
7.491 2.909 0.000
-5.259 0.000 8.416
Pm Tm Cd
7 1 4
Direct
0.000 0.000 0.000
0.238 0.238 0.695
0.296 0.296 0.117
0.430 0.430 0.592
0.570 0.570 0.408
0.704 0.704 0.883
0.762 0.762 0.305
0.500 0.500 0.000
0.041 0.041 0.713
0.181 0.181 0.343
0.819 0.819 0.657
0.959 0.959 0.287
```

Values from the calculation:
**E_tot**: -3.469 eV per atom
**Formation energy**: -0.020 eV per atom

=====

Compound: LiCaC3
Source: the Alexandria database
Functional: GGA-PBE
Structure: relaxed

The structure in POSCAR format:
```
LiCaC3
1.0
4.559 0.000 0.000
0.000 4.559 0.000
0.000 0.000 4.559
Li Ca C
1 1 3
Direct
0.000 0.000 0.000
0.500 0.500 0.500
0.000 0.500 0.500
0.500 0.000 0.500
0.500 0.500 0.000
```

Values from the calculation:
**E_tot**: -3.286 eV per atom
**Formation energy**: 3.032 eV per atom
**E above lowest polymorph**: 973.1 meV per atom

=====

Compound: SmHfIr2
Source: the Alexandria database
Functional: GGA-PBE
Structure: relaxed

The structure in POSCAR format:
```
SmHfIr2
1.0
3.341 0.000 0.000
0.000 3.341 0.000
0.000 0.000 7.004
Sm Hf Ir
1 1 2
Direct
0.000 0.000 0.000
0.000 0.000 0.500
0.500 0.500 0.283
0.500 0.500 0.717
```

Values from the calculation:
**E_tot**: -8.898 eV per atom
**Formation energy**: -0.800 eV per atom

=====

Compound: GeSb2PI
Source: the Alexandria database
Functional: GGA-PBE
Structure: relaxed

The structure in POSCAR format:
```
GeSb2PI
1.0
5.435 0.000 0.000
0.000 5.435 0.000
0.000 0.000 5.330
Ge Sb P I
1 2 1 1
Direct
0.000 0.000 0.000
0.000 0.500 0.000
0.500 0.000 0.000
0.500 0.500 0.500
0.000 0.000 0.500
```

Values from the calculation:
**E_tot**: -2.952 eV per atom
**E above lowest polymorph**: 291.3 meV per atom

=====

Compound: Cu2HBr6
Source: the Alexandria database
Functional: GGA-PBE
Structure: relaxed

The structure in POSCAR format:
```
Cu2HBr6
1.0
6.015 -7.141 0.000
6.015 7.141 0.000
-0.064 0.000 6.910
Cu H Br
4 2 12
Direct
0.152 0.286 0.226
0.286 0.152 0.726
0.714 0.848 0.274
0.848 0.714 0.774
0.184 0.816 0.750
0.816 0.184 0.250
0.069 0.697 0.607
0.119 0.282 0.884
0.282 0.119 0.384
0.303 0.931 0.893
0.317 0.515 0.144
0.485 0.683 0.356
0.515 0.317 0.644
0.683 0.485 0.856
0.697 0.069 0.107
0.718 0.881 0.616
0.881 0.718 0.116
0.931 0.303 0.393
```

Values from the calculation:
**E_tot**: -2.589 eV per atom

=====

- Among the records above, which one has the lowest E_tot?
  SmHfIr2